Entry 1:
Density functional theory data (GGA-PBE) for crystalline Zr2TaHgH at its relaxed geometry.

## Properties
E, eV per atom: -6.63
DOS(E_F), states/eV/f.u.: 4.91

a = 4.528 Å, b = 4.528 Å, c = 4.122 Å
α = 90.00°, β = 90.00°, γ = 90.00°
Space group P4/mmm (No. 123)
Asymmetric unit:
Zr 0.000 0.500 0.000 [2 per cell]
Ta 0.000 0.000 0.500 [1 per cell]
Hg 0.500 0.500 0.500 [1 per cell]
H 0.000 0.000 0.000 [1 per cell]



Entry 2:
Density functional theory data (GGA-PBE) for crystalline Tb2HgH at its relaxed geometry.

## Properties
E, eV per atom: -3.56
E above lowest polymorph, meV/atom: 131
DOS(E_F), states/eV/f.u.: 3.87

a = 3.6532 Å, b = 3.6532 Å, c = 22.6629 Å
α = 90.00°, β = 90.00°, γ = 120.00°
Space group R-3m (No. 166, hexagonal axes)
Asymmetric unit:
Tb 0.0000 0.0000 0.2271 [6 per cell]
Hg 0.0000 0.0000 0.0000 [3 per cell]
H 0.0000 0.0000 0.5000 [3 per cell]



Entry 3:
Density functional theory data (GGA-PBE) for crystalline Tb4Hg2H at its relaxed geometry.

## Properties
E, eV per atom: -3.54
E above lowest polymorph, meV/atom: 47
DOS(E_F), states/eV/f.u.: 4.62

a = 4.717 Å, b = 4.717 Å, c = 15.597 Å
α = 90.00°, β = 90.00°, γ = 90.00°
Space group I4/mmm (No. 139)
Asymmetric unit:
Tb 0.000 0.000 0.180 [4 per cell]
Tb 0.000 0.500 0.000 [4 per cell]
Hg 0.000 0.000 0.368 [4 per cell]
H 0.000 0.000 0.000 [2 per cell]



Entry 4:
Density functional theory data (GGA-PBE) for crystalline TbHgH at its relaxed geometry.

## Properties
E, eV per atom: -3.16
E above lowest polymorph, meV/atom: 143
DOS(E_F), states/eV/f.u.: 1.46

a = 3.8066 Å, b = 3.8066 Å, c = 4.6799 Å
α = 90.00°, β = 90.00°, γ = 120.00°
Space group P3m1 (No. 156)
Asymmetric unit:
Tb 0.0000 0.0000 0.0000 [1 per cell]
Hg 0.3333 0.6667 0.5000 [1 per cell]
H 0.6667 0.3333 0.0012 [1 per cell]



Entry 5:
Density functional theory data (GGA-PBE) for crystalline TbHgH at its relaxed geometry.

## Properties
E, eV per atom: -3.22
E above lowest polymorph, meV/atom: 84
DOS(E_F), states/eV/f.u.: 0.97

a = 8.317 Å, b = 6.963 Å, c = 11.743 Å
α = 90.00°, β = 100.77°, γ = 90.00°
Space group P2_1/c (No. 14)
Asymmetric unit:
Tb 0.027 0.218 0.230 [4 per cell]
Tb 0.200 0.561 0.044 [4 per cell]
Tb 0.413 0.627 0.365 [4 per cell]
Hg 0.139 0.140 0.984 [4 per cell]
Hg 0.284 0.571 0.691 [4 per cell]
Hg 0.434 0.169 0.393 [4 per cell]
H 0.021 0.513 0.882 [4 per cell]
H 0.190 0.516 0.242 [4 per cell]
H 0.190 0.728 0.406 [4 per cell]



Entry 6:
Density functional theory data (GGA-PBE) for crystalline Tb6Hg3H at its relaxed geometry.

## Properties
E, eV per atom: -3.47
DOS(E_F), states/eV/f.u.: 10.68

a = 6.475 Å, b = 8.148 Å, c = 11.690 Å
α = 90.00°, β = 121.02°, γ = 90.00°
Space group P2_1/c (No. 14)
Asymmetric unit:
Tb 0.062 0.062 0.230 [4 per cell]
Tb 0.191 0.719 0.068 [4 per cell]
Tb 0.395 0.146 0.050 [4 per cell]
Hg 0.310 0.114 0.725 [4 per cell]
Hg 0.500 0.000 0.500 [2 per cell]
H 0.000 0.000 0.000 [2 per cell]